Record 1
LiSc3Al: optimized geometry, PBE-GGA.

The total energy comes out at -4.448 eV/atom. As for the space-group type: Pm-3m, No. 221. The calculation puts the calculated formation energy at 482 meV/atom.

Cell lengths 4.852, 4.852, 4.852 Å; angles 90.00, 90.00, 90.00 degrees
Element x y z (fractional)
Li: 0.000 0.000 0.000
Sc: 0.000 0.000 0.500
Sc: 0.000 0.500 0.000
Sc: 0.500 0.000 0.000
Al: 0.500 0.500 0.500

Record 2
LiSc2Al: optimized geometry, PBE-GGA.

The total energy comes out at -4.617 eV/atom. As for the space-group type: C2/m, No. 12. The calculation puts the calculated formation energy at -37 meV/atom.

Cell lengths 5.054, 5.054, 5.635 Å; angles 99.63, 99.63, 36.97 degrees
Element x y z (fractional)
Li: 0.000 0.000 0.000
Sc: 0.243 0.243 0.734
Sc: 0.757 0.757 0.266
Al: 0.500 0.500 0.500

Record 3
Li2ScAl: optimized geometry, PBE-GGA.

The total energy comes out at -3.549 eV/atom. As for the space-group type: Pmm2, No. 25. The calculation puts the calculated formation energy at -74 meV/atom.

Cell lengths 3.165, 4.774, 5.174 Å; angles 90.00, 90.00, 90.00 degrees
Element x y z (fractional)
Li: 0.000 0.000 0.000
Li: 0.500 0.500 0.121
Sc: 0.000 0.500 0.592
Al: 0.500 0.000 0.481

Record 4
LiSc2Al: optimized geometry, PBE-GGA.

The total energy comes out at -4.570 eV/atom. As for the space-group type: F-43m, No. 216. The calculation puts the calculated formation energy at 10 meV/atom.

Cell lengths 4.864, 4.864, 4.864 Å; angles 60.00, 60.00, 60.00 degrees
Element x y z (fractional)
Li: 0.000 0.000 0.000
Sc: 0.500 0.500 0.500
Sc: 0.750 0.750 0.750
Al: 0.250 0.250 0.250

Record 5
LiSc5Al: optimized geometry, PBE-GGA.

The total energy comes out at -5.230 eV/atom. As for the space-group type: C2/c, No. 15. The calculation puts the calculated formation energy at 100 meV/atom.

Cell lengths 5.659, 5.659, 10.358 Å; angles 100.00, 100.00, 94.06 degrees
Element x y z (fractional)
Li: 0.000 0.000 0.000
Li: 0.000 0.000 0.500
Sc: 0.011 0.574 0.159
Sc: 0.116 0.884 0.750
Sc: 0.245 0.523 0.467
Sc: 0.426 0.989 0.341
Sc: 0.477 0.755 0.033
Sc: 0.523 0.245 0.967
Sc: 0.574 0.011 0.659
Sc: 0.755 0.477 0.533
Sc: 0.884 0.116 0.250
Sc: 0.989 0.426 0.841
Al: 0.472 0.528 0.750
Al: 0.528 0.472 0.250

Record 6
Li2ScAl: optimized geometry, PBE-GGA.

The total energy comes out at -3.597 eV/atom. As for the space-group type: I-4m2, No. 119. The calculation puts the calculated formation energy at -121 meV/atom.

Cell lengths 4.718, 4.718, 4.718 Å; angles 120.16, 120.16, 89.73 degrees
Element x y z (fractional)
Li: 0.000 0.000 0.000
Li: 0.750 0.250 0.500
Sc: 0.250 0.750 0.500
Al: 0.500 0.500 0.000

Record 7
LiSc2Al: optimized geometry, PBE-GGA.

The total energy comes out at -4.777 eV/atom. As for the space-group type: P4/mmm, No. 123. The calculation puts the calculated formation energy at -197 meV/atom.

Cell lengths 4.804, 4.804, 3.473 Å; angles 90.00, 90.00, 90.00 degrees
Element x y z (fractional)
Li: 0.000 0.000 0.000
Sc: 0.000 0.500 0.500
Sc: 0.500 0.000 0.500
Al: 0.500 0.500 0.000

Record 8
Li2ScAl: optimized geometry, PBE-GGA.

The total energy comes out at -3.483 eV/atom. As for the space-group type: R3m, No. 160. The calculation puts the calculated formation energy at -8 meV/atom.

Cell lengths 9.998, 9.998, 9.998 Å; angles 17.70, 17.70, 17.70 degrees
Element x y z (fractional)
Li: 0.000 0.000 0.000
Li: 0.247 0.247 0.247
Sc: 0.491 0.491 0.491
Al: 0.743 0.743 0.743

Record 9
LiScAl4: optimized geometry, PBE-GGA.

The total energy comes out at -4.096 eV/atom. As for the space-group type: F-43m, No. 216. The calculation puts the calculated formation energy at -226 meV/atom.

Cell lengths 5.369, 5.369, 5.369 Å; angles 60.00, 60.00, 60.00 degrees
Element x y z (fractional)
Li: 0.000 0.000 0.000
Sc: 0.750 0.750 0.750
Al: 0.375 0.375 0.375
Al: 0.375 0.375 0.874
Al: 0.375 0.874 0.375
Al: 0.874 0.375 0.375

Record 10
LiScAl: optimized geometry, PBE-GGA.

The total energy comes out at -4.205 eV/atom. As for the space-group type: Cmcm, No. 63. The calculation puts the calculated formation energy at -209 meV/atom.

Cell lengths 8.653, 8.653, 4.385 Å; angles 90.00, 90.00, 158.58 degrees
Element x y z (fractional)
Li: 0.208 0.792 0.750
Li: 0.792 0.208 0.250
Sc: 0.394 0.606 0.750
Sc: 0.606 0.394 0.250
Al: 0.043 0.957 0.750
Al: 0.957 0.043 0.250

Record 11
Li2ScAlSe4: optimized geometry, PBE-GGA.

The total energy comes out at -4.760 eV/atom. As for the space-group type: Imma, No. 74. For the formation energy (no corrections), the calculation gives -1.280 eV per atom.

Cell lengths 7.668, 7.668, 7.668 Å; angles 120.92, 119.36, 89.77 degrees
Element x y z (fractional)
Li: 0.000 0.000 0.000
Li: 0.500 0.000 0.000
Li: 0.500 0.000 0.500
Li: 0.500 0.500 0.500
Sc: 0.000 0.500 0.500
Sc: 0.500 0.500 0.000
Al: 0.000 0.000 0.500
Al: 0.000 0.500 0.000
Se: 0.230 0.250 0.980
Se: 0.231 0.750 0.480
Se: 0.243 0.244 0.500
Se: 0.243 0.743 0.000
Se: 0.757 0.257 0.000
Se: 0.757 0.756 0.500
Se: 0.769 0.250 0.520
Se: 0.770 0.750 0.020

Record 12
Li3Sc3AlSe8: optimized geometry, PBE-GGA.

The total energy comes out at -5.123 eV/atom. As for the space-group type: R-3m, No. 166. For the formation energy (no corrections), the calculation gives -1.366 eV per atom.

Cell lengths 7.836, 7.836, 7.836 Å; angles 58.00, 58.00, 58.00 degrees
Element x y z (fractional)
Li: 0.000 0.500 0.500
Li: 0.500 0.000 0.500
Li: 0.500 0.500 0.000
Sc: 0.000 0.000 0.500
Sc: 0.000 0.500 0.000
Sc: 0.500 0.000 0.000
Al: 0.500 0.500 0.500
Se: 0.248 0.248 0.248
Se: 0.257 0.739 0.739
Se: 0.261 0.261 0.743
Se: 0.261 0.743 0.261
Se: 0.739 0.257 0.739
Se: 0.739 0.739 0.257
Se: 0.743 0.261 0.261
Se: 0.752 0.752 0.752

Record 13
Li3Sc2AlSe6: optimized geometry, PBE-GGA.

The total energy comes out at -4.975 eV/atom. As for the space-group type: C2/m, No. 12. For the formation energy (no corrections), the calculation gives -1.387 eV per atom.

Cell lengths 6.626, 6.626, 6.771 Å; angles 99.38, 99.38, 120.01 degrees
Element x y z (fractional)
Li: 0.000 0.000 0.000
Li: 0.334 0.666 0.000
Li: 0.666 0.334 0.000
Sc: 0.167 0.833 0.500
Sc: 0.833 0.167 0.500
Al: 0.500 0.500 0.500
Se: 0.101 0.421 0.262
Se: 0.259 0.259 0.735
Se: 0.421 0.101 0.262
Se: 0.579 0.899 0.738
Se: 0.741 0.741 0.265
Se: 0.899 0.579 0.738

Record 14
LiSmScAl: optimized geometry, PBE-GGA.

The total energy comes out at -4.376 eV/atom. As for the space-group type: F-43m, No. 216. The calculation puts the calculated formation energy at -199 meV/atom.

Cell lengths 5.055, 5.055, 5.055 Å; angles 60.00, 60.00, 60.00 degrees
Element x y z (fractional)
Li: 0.000 0.000 0.000
Sm: 0.750 0.750 0.750
Sc: 0.250 0.250 0.250
Al: 0.500 0.500 0.500

Record 15
Li2ScTaAl: optimized geometry, PBE-GGA.

The total energy comes out at -4.180 eV/atom. As for the space-group type: P4/mmm, No. 123. The calculation puts the calculated formation energy at 971 meV/atom.

Cell lengths 4.457, 4.457, 5.183 Å; angles 90.00, 90.00, 90.00 degrees
Element x y z (fractional)
Li: 0.000 0.500 0.000
Li: 0.500 0.000 0.000
Sc: 0.000 0.000 0.500
Ta: 0.500 0.500 0.500
Al: 0.000 0.000 0.000

Record 16
LiTbScAl: optimized geometry, PBE-GGA.

The total energy comes out at -4.365 eV/atom. As for the space-group type: F-43m, No. 216. The calculation puts the calculated formation energy at -210 meV/atom.

Cell lengths 5.010, 5.010, 5.010 Å; angles 60.00, 60.00, 60.00 degrees
Element x y z (fractional)
Li: 0.000 0.000 0.000
Tb: 0.750 0.750 0.750
Sc: 0.250 0.250 0.250
Al: 0.500 0.500 0.500

Record 17
LiScAlTc: optimized geometry, PBE-GGA.

The total energy comes out at -5.775 eV/atom. As for the space-group type: F-43m, No. 216. The calculation puts the calculated formation energy at -186 meV/atom.

Cell lengths 4.485, 4.485, 4.485 Å; angles 60.00, 60.00, 60.00 degrees
Element x y z (fractional)
Li: 0.000 0.000 0.000
Sc: 0.750 0.750 0.750
Al: 0.250 0.250 0.250
Tc: 0.500 0.500 0.500

Record 18
Li3Sc3AlTe8: optimized geometry, PBE-GGA.

The total energy comes out at -4.545 eV/atom. As for the space-group type: C2/m, No. 12. For the formation energy (no corrections), the calculation gives -0.971 eV per atom.

Cell lengths 8.172, 8.172, 8.503 Å; angles 118.69, 118.69, 59.90 degrees
Element x y z (fractional)
Li: 0.000 0.000 0.000
Li: 0.000 0.500 0.000
Li: 0.500 0.000 0.000
Sc: 0.000 0.500 0.500
Sc: 0.500 0.000 0.500
Sc: 0.500 0.500 0.500
Al: 0.000 0.000 0.500
Te: 0.241 0.241 0.737
Te: 0.241 0.755 0.737
Te: 0.245 0.759 0.263
Te: 0.252 0.252 0.255
Te: 0.748 0.748 0.745
Te: 0.755 0.241 0.737
Te: 0.759 0.245 0.263
Te: 0.759 0.759 0.263

Record 19
LiSc2AlTe: optimized geometry, PBE-GGA.

The total energy comes out at -4.353 eV/atom. As for the space-group type: P4/mmm, No. 123. For the formation energy (no corrections), the calculation gives -0.061 eV per atom.

Cell lengths 5.196, 5.196, 4.722 Å; angles 90.00, 90.00, 90.00 degrees
Element x y z (fractional)
Li: 0.000 0.000 0.000
Sc: 0.000 0.500 0.500
Sc: 0.500 0.000 0.500
Al: 0.000 0.000 0.500
Te: 0.500 0.500 0.000

Record 20
LiThScAl: optimized geometry, PBE-GGA.

The total energy comes out at -4.979 eV/atom. As for the space-group type: F-43m, No. 216. The calculation puts the calculated formation energy at -127 meV/atom.

Cell lengths 5.055, 5.055, 5.055 Å; angles 60.00, 60.00, 60.00 degrees
Element x y z (fractional)
Li: 0.000 0.000 0.000
Th: 0.250 0.250 0.250
Sc: 0.750 0.750 0.750
Al: 0.500 0.500 0.500

Record 21
LiScAlZn2: optimized geometry, PBE-GGA.

The total energy comes out at -1.959 eV/atom. As for the space-group type: P4/mmm, No. 123. The calculation puts the calculated formation energy at 948 meV/atom.

Cell lengths 5.136, 5.136, 5.242 Å; angles 90.00, 90.00, 90.00 degrees
Element x y z (fractional)
Li: 0.000 0.000 0.000
Sc: 0.000 0.000 0.500
Al: 0.500 0.500 0.000
Zn: 0.000 0.500 0.500
Zn: 0.500 0.000 0.500

Record 22
LiAlSe4: optimized geometry, PBE-GGA.

The total energy comes out at -3.083 eV/atom. As for the space-group type: F-43m, No. 216. For the formation energy (no corrections), the calculation gives 0.183 eV per atom.

Cell lengths 5.816, 5.816, 5.816 Å; angles 60.00, 60.00, 60.00 degrees
Element x y z (fractional)
Li: 0.000 0.000 0.000
Al: 0.250 0.250 0.250
Se: 0.125 0.625 0.625
Se: 0.625 0.125 0.625
Se: 0.625 0.625 0.125
Se: 0.625 0.625 0.625

Record 23
LiAlSe: optimized geometry, PBE-GGA.

Its energy above the most stable polymorph in this dataset is 156 meV per atom. The total energy comes out at -3.451 eV/atom. As for the space-group type: Amm2, No. 38. For the formation energy (no corrections), the calculation gives -0.405 eV per atom.

Cell lengths 11.247, 3.557, 3.557 Å; angles 59.99, 90.00, 90.00 degrees
Element x y z (fractional)
Li: 0.205 0.000 0.000
Li: 0.795 0.000 0.000
Al: 0.000 0.332 0.332
Al: 0.500 0.001 0.001
Se: 0.357 0.334 0.334
Se: 0.643 0.334 0.334

Record 24
LiAlSe3: optimized geometry, PBE-GGA.

Its energy above the most stable polymorph in this dataset is 560 meV per atom. The total energy comes out at -2.948 eV/atom. As for the space-group type: Pm-3m, No. 221. For the formation energy (no corrections), the calculation gives 0.274 eV per atom.

Cell lengths 4.726, 4.726, 4.726 Å; angles 90.00, 90.00, 90.00 degrees
Element x y z (fractional)
Li: 0.000 0.000 0.000
Al: 0.500 0.500 0.500
Se: 0.000 0.000 0.500
Se: 0.000 0.500 0.000
Se: 0.500 0.000 0.000

Record 25
LiAl5Se8: optimized geometry, PBE-GGA.

The total energy comes out at -4.351 eV/atom. As for the space-group type: F-43m, No. 216. For the formation energy (no corrections), the calculation gives -0.886 eV per atom.

Cell lengths 7.553, 7.553, 7.553 Å; angles 60.00, 60.00, 60.00 degrees
Element x y z (fractional)
Li: 0.000 0.000 0.000
Al: 0.100 0.633 0.633
Al: 0.250 0.250 0.250
Al: 0.633 0.100 0.633
Al: 0.633 0.633 0.100
Al: 0.633 0.633 0.633
Se: 0.384 0.384 0.384
Se: 0.384 0.384 0.848
Se: 0.384 0.848 0.384
Se: 0.397 0.868 0.868
Se: 0.848 0.384 0.384
Se: 0.868 0.397 0.868
Se: 0.868 0.868 0.397
Se: 0.868 0.868 0.868